Density functional theory data (PBE) for a geometry-optimized AgHO structure.

The structure in POSCAR format:
```
AgHO
1.0
-0.6485 1.7762 -1.7394
1.9649 -2.3515 -3.1339
-4.4679 -3.2883 -1.6920
H O Ag
2 2 2
Cartesian
0.0292 -0.9611 -3.8386
-3.1807 -2.9025 -2.7268
-3.4161 -1.9652 -3.5793
0.2646 -1.8985 -2.9860
-2.0606 -2.9255 -5.0653
-1.0909 -0.9382 -1.5000
```

Computed properties:
DFT total energy: -11.8 eV per formula unit
V: 10.73 Å³ per atom
Relative energy among the computed polymorphs: 6.61 kcal/mol of atoms
Total magnetic moment: 0.00 μB per formula unit